Arrangement i

VASP calculation (PBE) on a geometry-optimized AcPrAgHg structure.

The structure in CIF format:
```
data_AcPrAgHg
_symmetry_space_group_name_H-M 'F -4 3 m'
_symmetry_Int_Tables_number 216
_symmetry_space_group_name_Hall 'F -4 2 3'
_cell_length_a 7.8409
_cell_length_b 7.8409
_cell_length_c 7.8409
_cell_angle_alpha 90.00
_cell_angle_beta 90.00
_cell_angle_gamma 90.00
loop_
_atom_site_label
_atom_site_type_symbol
_atom_site_fract_x
_atom_site_fract_y
_atom_site_fract_z
Ac1 Ac 0.0000 0.0000 0.0000
Pr1 Pr 0.0000 0.0000 0.5000
Ag1 Ag 0.2500 0.2500 0.2500
Hg1 Hg 0.2500 0.2500 0.7500
```

**Crystal system**: cubic


Arrangement ii

VASP calculation (PBE) on a geometry-optimized AcPrAgHg structure.

The structure in CIF format:
```
data_AcPrAgHg
_symmetry_space_group_name_H-M 'P 4 m m'
_symmetry_Int_Tables_number 99
_cell_length_a 3.9106
_cell_length_b 3.9106
_cell_length_c 7.8473
_cell_angle_alpha 90.00
_cell_angle_beta 90.00
_cell_angle_gamma 90.00
loop_
_symmetry_equiv_pos_as_xyz
'x,y,z'
'-y,x,z'
'-x,-y,z'
'y,-x,z'
'-x,y,z'
'y,x,z'
'x,-y,z'
'-y,-x,z'
loop_
_atom_site_label
_atom_site_type_symbol
_atom_site_fract_x
_atom_site_fract_y
_atom_site_fract_z
Ac1 Ac 0.0000 0.0000 0.0000
Pr1 Pr 0.0000 0.0000 0.4887
Ag1 Ag 0.5000 0.5000 0.2621
Hg1 Hg 0.5000 0.5000 0.7270
```

**Crystal system**: tetragonal


On energetic grounds, arrangement ii is preferred over the next structure by 7 meV per atom.


Arrangement i

VASP calculation (PBE) on a geometry-optimized SrAcAgHg structure.

The structure in CIF format:
```
data_SrAcAgHg
_symmetry_space_group_name_H-M 'F -4 3 m'
_symmetry_Int_Tables_number 216
_symmetry_space_group_name_Hall 'F -4 2 3'
_cell_length_a 7.9658
_cell_length_b 7.9658
_cell_length_c 7.9658
_cell_angle_alpha 90.00
_cell_angle_beta 90.00
_cell_angle_gamma 90.00
loop_
_atom_site_label
_atom_site_type_symbol
_atom_site_fract_x
_atom_site_fract_y
_atom_site_fract_z
Sr1 Sr 0.0000 0.0000 0.0000
Ac1 Ac 0.0000 0.0000 0.5000
Ag1 Ag 0.2500 0.2500 0.7500
Hg1 Hg 0.2500 0.2500 0.2500
```

**Crystal system**: cubic


Arrangement ii

VASP calculation (PBE) on a geometry-optimized SrAcAgHg structure.

The structure in CIF format:
```
data_SrAcAgHg
_symmetry_space_group_name_H-M 'P 4 m m'
_symmetry_Int_Tables_number 99
_cell_length_a 3.9877
_cell_length_b 3.9877
_cell_length_c 7.9978
_cell_angle_alpha 90.00
_cell_angle_beta 90.00
_cell_angle_gamma 90.00
loop_
_symmetry_equiv_pos_as_xyz
'x,y,z'
'-y,x,z'
'-x,-y,z'
'y,-x,z'
'-x,y,z'
'y,x,z'
'x,-y,z'
'-y,-x,z'
loop_
_atom_site_label
_atom_site_type_symbol
_atom_site_fract_x
_atom_site_fract_y
_atom_site_fract_z
Sr1 Sr 0.0000 0.0000 0.0000
Ac1 Ac 0.0000 0.0000 0.5101
Ag1 Ag 0.5000 0.5000 0.7464
Hg1 Hg 0.5000 0.5000 0.2548
```

**Crystal system**: tetragonal


On energetic grounds, arrangement ii is preferred over the next structure by 8 meV per atom.


Arrangement i

VASP calculation (PBE) on a geometry-optimized AcTbAgHg structure.

The structure in CIF format:
```
data_AcTbAgHg
_symmetry_space_group_name_H-M 'P 4 m m'
_symmetry_Int_Tables_number 99
_cell_length_a 3.8199
_cell_length_b 3.8199
_cell_length_c 7.7926
_cell_angle_alpha 90.00
_cell_angle_beta 90.00
_cell_angle_gamma 90.00
loop_
_symmetry_equiv_pos_as_xyz
'x,y,z'
'-y,x,z'
'-x,-y,z'
'y,-x,z'
'-x,y,z'
'y,x,z'
'x,-y,z'
'-y,-x,z'
loop_
_atom_site_label
_atom_site_type_symbol
_atom_site_fract_x
_atom_site_fract_y
_atom_site_fract_z
Ac1 Ac 0.0000 0.0000 0.0000
Tb1 Tb 0.0000 0.0000 0.4892
Ag1 Ag 0.5000 0.5000 0.2813
Hg1 Hg 0.5000 0.5000 0.7138
```

**Crystal system**: tetragonal


Arrangement ii

VASP calculation (PBE) on a geometry-optimized AcTbAgHg structure.

The structure in CIF format:
```
data_AcTbAgHg
_symmetry_space_group_name_H-M 'F -4 3 m'
_symmetry_Int_Tables_number 216
_symmetry_space_group_name_Hall 'F -4 2 3'
_cell_length_a 7.7238
_cell_length_b 7.7238
_cell_length_c 7.7238
_cell_angle_alpha 90.00
_cell_angle_beta 90.00
_cell_angle_gamma 90.00
loop_
_atom_site_label
_atom_site_type_symbol
_atom_site_fract_x
_atom_site_fract_y
_atom_site_fract_z
Ac1 Ac 0.0000 0.0000 0.0000
Tb1 Tb 0.0000 0.0000 0.5000
Ag1 Ag 0.2500 0.2500 0.2500
Hg1 Hg 0.2500 0.2500 0.7500
```

**Crystal system**: cubic


On energetic grounds, arrangement i is preferred over the next structure by 28 meV per atom.


Arrangement i

VASP calculation (PBE) on a geometry-optimized AcHo2Ag structure.

The structure in CIF format:
```
data_AcHo2Ag
_symmetry_space_group_name_H-M 'P 4/m m m'
_symmetry_Int_Tables_number 123
_symmetry_space_group_name_Hall '-P 4 2'
_cell_length_a 5.6185
_cell_length_b 5.6185
_cell_length_c 3.7854
_cell_angle_alpha 90.00
_cell_angle_beta 90.00
_cell_angle_gamma 90.00
loop_
_atom_site_label
_atom_site_type_symbol
_atom_site_fract_x
_atom_site_fract_y
_atom_site_fract_z
Ac1 Ac 0.0000 0.0000 0.0000
Ho1 Ho 0.0000 0.5000 0.5000
Ag1 Ag 0.5000 0.5000 0.0000
```

**Crystal system**: tetragonal


Arrangement ii

VASP calculation (PBE) on a geometry-optimized AcHo2Ag structure.

The structure in CIF format:
```
data_AcHo2Ag
_symmetry_space_group_name_H-M 'P 4/m m m'
_symmetry_Int_Tables_number 123
_symmetry_space_group_name_Hall '-P 4 2'
_cell_length_a 3.7095
_cell_length_b 3.7095
_cell_length_c 8.8462
_cell_angle_alpha 90.00
_cell_angle_beta 90.00
_cell_angle_gamma 90.00
loop_
_atom_site_label
_atom_site_type_symbol
_atom_site_fract_x
_atom_site_fract_y
_atom_site_fract_z
Ac1 Ac 0.0000 0.0000 0.0000
Ho1 Ho 0.5000 0.5000 0.3036
Ag1 Ag 0.0000 0.0000 0.5000
```

**Crystal system**: tetragonal


On energetic grounds, arrangement ii is preferred over the next structure by 239 meV per atom.


Arrangement i

VASP calculation (PBE) on a geometry-optimized AcHoAg2 structure.

The structure in CIF format:
```
data_AcHoAg2
_symmetry_space_group_name_H-M 'F m -3 m'
_symmetry_Int_Tables_number 225
_symmetry_space_group_name_Hall '-F 4 2 3'
_cell_length_a 7.6229
_cell_length_b 7.6229
_cell_length_c 7.6229
_cell_angle_alpha 90.00
_cell_angle_beta 90.00
_cell_angle_gamma 90.00
loop_
_atom_site_label
_atom_site_type_symbol
_atom_site_fract_x
_atom_site_fract_y
_atom_site_fract_z
Ac1 Ac 0.0000 0.0000 0.0000
Ho1 Ho 0.0000 0.0000 0.5000
Ag1 Ag 0.2500 0.2500 0.2500
```

**Crystal system**: cubic


Arrangement ii

VASP calculation (PBE) on a geometry-optimized AcHoAg2 structure.

The structure in CIF format:
```
data_AcHoAg2
_symmetry_space_group_name_H-M 'P 4/m m m'
_symmetry_Int_Tables_number 123
_symmetry_space_group_name_Hall '-P 4 2'
_cell_length_a 3.7578
_cell_length_b 3.7578
_cell_length_c 7.6753
_cell_angle_alpha 90.00
_cell_angle_beta 90.00
_cell_angle_gamma 90.00
loop_
_atom_site_label
_atom_site_type_symbol
_atom_site_fract_x
_atom_site_fract_y
_atom_site_fract_z
Ac1 Ac 0.0000 0.0000 0.0000
Ho1 Ho 0.0000 0.0000 0.5000
Ag1 Ag 0.5000 0.5000 0.2885
```

**Crystal system**: tetragonal


On energetic grounds, arrangement ii is preferred over the next structure by 48 meV per atom.


Arrangement i

VASP calculation (PBE) on a geometry-optimized AcHoInAg structure.

The structure in CIF format:
```
data_AcHoInAg
_symmetry_space_group_name_H-M 'F -4 3 m'
_symmetry_Int_Tables_number 216
_symmetry_space_group_name_Hall 'F -4 2 3'
_cell_length_a 7.7790
_cell_length_b 7.7790
_cell_length_c 7.7790
_cell_angle_alpha 90.00
_cell_angle_beta 90.00
_cell_angle_gamma 90.00
loop_
_atom_site_label
_atom_site_type_symbol
_atom_site_fract_x
_atom_site_fract_y
_atom_site_fract_z
Ac1 Ac 0.0000 0.0000 0.0000
Ho1 Ho 0.0000 0.0000 0.5000
In1 In 0.2500 0.2500 0.2500
Ag1 Ag 0.2500 0.2500 0.7500
```

**Crystal system**: cubic


Arrangement ii

VASP calculation (PBE) on a geometry-optimized AcHoInAg structure.

The structure in CIF format:
```
data_AcHoInAg
_symmetry_space_group_name_H-M 'P 4 m m'
_symmetry_Int_Tables_number 99
_cell_length_a 3.7795
_cell_length_b 3.7795
_cell_length_c 8.0384
_cell_angle_alpha 90.00
_cell_angle_beta 90.00
_cell_angle_gamma 90.00
loop_
_symmetry_equiv_pos_as_xyz
'x,y,z'
'-y,x,z'
'-x,-y,z'
'y,-x,z'
'-x,y,z'
'y,x,z'
'x,-y,z'
'-y,-x,z'
loop_
_atom_site_label
_atom_site_type_symbol
_atom_site_fract_x
_atom_site_fract_y
_atom_site_fract_z
Ac1 Ac 0.0000 0.0000 0.0000
Ho1 Ho 0.0000 0.0000 0.4765
In1 In 0.5000 0.5000 0.7119
Ag1 Ag 0.5000 0.5000 0.2852
```

**Crystal system**: tetragonal


On energetic grounds, arrangement ii is preferred over the next structure by 48 meV per atom.